Density functional theory data (PBE-GGA) for a relaxed SrSi2Pd crystal.

Properties
Formation energy from raw total energies   -0.40 eV per atom
SG   Amm2 (38)
Energy   -4.83 eV per atom
Calculated volume   24.7 Å³/atom

Lattice parameters (Å, degrees): 4.5651 4.6648 4.6648 96.67 90.00 90.00
Element x y z (fractional)
Pd 0.5000 0.3785 0.6215
Si 0.5000 0.5185 0.1243
Si 0.5000 0.8757 0.4815
Sr 0.0000 0.0072 0.9928